Computed, not measured: a geometry-optimized PmNbNO structure at the PBE level of DFT.

Cell: 6.681 7.745 4.663 Å, 90.00 90.00 90.00°
Space group Pca2_1 (No. 29)
Asymmetric unit:
Pm1 0.049 0.134 0.000 [4 per cell]
Nb1 0.108 0.625 0.000 [4 per cell]
N1 0.089 0.583 0.501 [4 per cell]
O1 0.096 0.156 0.500 [4 per cell]

- Magnetization: 0.0 μB/cell
- Distance to the lowest polymorph of the same formula: 0.047 eV/atom
- VASP energy: -138.766 eV for the cell shown

Computed, not measured: a geometry-optimized PmNbNO structure at the PBE level of DFT.

Cell: 3.441 3.441 4.584 Å, 90.00 90.00 90.00°
Space group P4/mmm (No. 123)
Asymmetric unit:
Pm1 0.000 0.000 0.000 [1 per cell]
Nb1 0.500 0.500 0.500 [1 per cell]
N1 0.500 0.500 0.000 [1 per cell]
O1 0.000 0.000 0.500 [1 per cell]

- Magnetization: 0.0 μB/cell
- Distance to the lowest polymorph of the same formula: 0.323 eV/atom
- VASP energy: -33.589 eV for the cell shown

Computed, not measured: a geometry-optimized PmNbN2O structure at the PBE level of DFT.

Cell: 5.729 3.920 5.917 Å, 90.00 90.00 90.00°
Space group Pmma (No. 51)
Asymmetric unit:
Pm1 0.250 0.000 0.201 [2 per cell]
Nb1 0.250 0.500 0.724 [2 per cell]
N1 0.000 0.500 0.500 [2 per cell]
N2 0.250 0.000 0.805 [2 per cell]
O1 0.000 0.500 0.000 [2 per cell]

- Magnetization: 0.0 μB/cell
- VASP energy: -89.106 eV for the cell shown

Computed, not measured: a geometry-optimized PrNbNO structure at the PBE level of DFT.

Cell: 4.107 5.395 5.526 Å, 90.00 90.00 90.00°
Space group Pmc2_1 (No. 26)
Asymmetric unit:
Pr1 0.000 0.225 0.000 [2 per cell]
Nb1 0.500 0.269 0.502 [2 per cell]
N1 0.500 0.000 0.252 [2 per cell]
O1 0.000 0.300 0.503 [2 per cell]

- Magnetization: 0.0 μB/cell
- Distance to the lowest polymorph of the same formula: 0.181 eV/atom
- VASP energy: -69.004 eV for the cell shown

Computed, not measured: a geometry-optimized PrNbNO structure at the PBE level of DFT.

Cell: 6.754 7.790 4.751 Å, 90.00 90.00 90.00°
Space group Pca2_1 (No. 29)
Asymmetric unit:
Pr1 0.048 0.136 0.000 [4 per cell]
Nb1 0.106 0.622 0.999 [4 per cell]
N1 0.097 0.576 0.521 [4 per cell]
O1 0.095 0.160 0.499 [4 per cell]

- Magnetization: 0.0 μB/cell
- Distance to the lowest polymorph of the same formula: 0.193 eV/atom
- VASP energy: -137.818 eV for the cell shown

Computed, not measured: a geometry-optimized PrNbNO structure at the PBE level of DFT.

Cell: 7.004 7.308 4.626 Å, 90.00 90.02 90.00°
Space group Cm (No. 8)
Asymmetric unit:
Pr1 0.000 0.244 0.000 [4 per cell]
Nb1 0.186 0.500 0.500 [2 per cell]
Nb2 0.313 0.000 0.500 [2 per cell]
N1 0.244 0.500 0.004 [2 per cell]
N2 0.256 0.000 0.998 [2 per cell]
O1 0.494 0.244 0.500 [4 per cell]

- Magnetization: 0.0 μB/cell
- Distance to the lowest polymorph of the same formula: 0.419 eV/atom
- VASP energy: -134.208 eV for the cell shown

Computed, not measured: a geometry-optimized PrNbNO structure at the PBE level of DFT.

Cell: 4.144 4.144 8.328 Å, 90.00 90.00 90.00°
Space group P4/nmm (No. 129, origin choice 2)
Asymmetric unit:
Pr1 0.250 0.250 0.136 [2 per cell]
Nb1 0.250 0.750 0.500 [2 per cell]
N1 0.250 0.250 0.445 [2 per cell]
O1 0.250 0.750 0.000 [2 per cell]

- Magnetization: 0.0 μB/cell
- Distance to the lowest polymorph of the same formula: 0.000 eV/atom
- VASP energy: -70.454 eV for the cell shown

Computed, not measured: a geometry-optimized PrNbNO structure at the PBE level of DFT.

Cell: 4.537 4.537 5.927 Å, 90.00 90.00 90.00°
Space group P4/nmm (No. 129, origin choice 2)
Asymmetric unit:
Pr1 0.250 0.750 0.000 [2 per cell]
Nb1 0.250 0.250 0.479 [2 per cell]
N1 0.250 0.250 0.156 [2 per cell]
O1 0.250 0.750 0.500 [2 per cell]

- Magnetization: 0.6 μB/cell
- Distance to the lowest polymorph of the same formula: 0.645 eV/atom
- VASP energy: -65.291 eV for the cell shown

> Among the records above, which one has the lowest VASP energy?

number 1

> What is the VASP energy in the seventh record?

-70.454 eV for the cell shown